{"formula": "CsPmTh", "functional": "PBE-GGA", "state": "optimized geometry", "space_group": "F-43m", "final_energy_ev_per_atom": -2.90, "cell": [[0.000, 4.139, 4.139], [4.139, 0.000, 4.139], [4.139, 4.139, 0.000]], "species": ["Th", "Pm", "Cs"], "frac_coords": [[0.750, 0.750, 0.750], [0.000, 0.000, 0.000], [0.250, 0.250, 0.250]]}

***

{"formula": "As2Pt2O5", "functional": "PBE-GGA", "state": "optimized geometry", "space_group": "P4/mmm", "final_energy_ev_per_atom": -5.00, "polymorph_energy_ev_per_atom": 0.0439, "cell": [[7.018, 0.000, 0.000], [0.000, 3.890, 0.000], [0.000, 0.000, 3.890]], "species": ["As", "O", "Pt", "O", "Pt", "O", "O", "As", "O"], "frac_coords": [[0.500, 0.000, 0.000], [0.271, 0.000, 0.500], [0.804, 0.500, 0.500], [0.271, 0.500, 0.000], [0.196, 0.500, 0.500], [0.729, 0.500, 0.000], [0.729, 0.000, 0.500], [0.000, 0.000, 0.000], [0.500, 0.500, 0.500]]}

***

{"formula": "HoTmAsO", "functional": "PBE-GGA", "state": "optimized geometry", "space_group": "P4/nmm", "final_energy_ev_per_atom": -6.57, "polymorph_energy_ev_per_atom": 0.0766, "cell": [[4.301, 0.000, 0.000], [0.000, 4.301, 0.000], [0.000, 0.000, 8.642]], "species": ["O", "As", "Tm", "As", "Ho", "O", "Ho", "Tm"], "frac_coords": [[0.750, 0.250, 0.000], [0.750, 0.750, 0.296], [0.250, 0.750, 0.500], [0.250, 0.250, 0.704], [0.750, 0.750, 0.899], [0.250, 0.750, 0.000], [0.250, 0.250, 0.101], [0.750, 0.250, 0.500]]}

***

{"formula": "NdNiSn", "functional": "PBE-GGA", "state": "optimized geometry", "space_group": "P6_3/mmc", "final_energy_ev_per_atom": -4.82, "cell": [[-4.970, -0.407, 1.225], [2.172, -3.469, -3.101], [1.491, -3.450, 4.904]], "species": ["Ni", "Nd", "Nd", "Sn", "Ni", "Sn"], "frac_coords": [[0.000, 0.000, 0.500], [0.667, 0.333, 0.250], [0.333, 0.667, 0.750], [0.333, 0.667, 0.250], [0.000, 0.000, 0.000], [0.667, 0.333, 0.750]]}

***

{"formula": "Sm3Ni4B4C3", "functional": "PBE-GGA", "state": "optimized geometry", "space_group": "I4/mmm", "final_energy_ev_per_atom": -6.94, "cell": [[-12.040, -2.772, 3.552], [-12.734, -1.138, -1.342], [12.695, -0.483, -1.963]], "species": ["Sm", "Sm", "B", "C", "Ni", "B", "B", "Sm", "Ni", "Ni", "C", "B", "C", "Ni"], "frac_coords": [[0.803, 0.803, 0.000], [0.104, 0.104, 0.000], [0.246, 0.246, 0.000], [0.903, 0.903, 0.000], [0.204, 0.704, 0.500], [0.963, 0.963, 0.000], [0.545, 0.545, 0.000], [0.406, 0.406, 0.000], [0.704, 0.204, 0.500], [0.505, 0.005, 0.500], [0.305, 0.305, 0.000], [0.664, 0.664, 0.000], [0.604, 0.604, 0.000], [0.005, 0.505, 0.500]]}

***

{"formula": "SrDy2O4", "functional": "PBE-GGA", "state": "optimized geometry", "space_group": "Pnma", "final_energy_ev_per_atom": -7.73, "cell": [[10.024, 0.000, 0.000], [0.000, 11.886, 0.000], [0.000, 0.000, 3.413]], "species": ["O", "O", "O", "O", "Dy", "Sr", "Dy", "Dy", "O", "O", "Dy", "Sr", "O", "Dy", "O", "O", "Dy", "O", "O", "Sr", "Sr", "O", "Dy", "O", "Dy", "O", "O", "O"], "frac_coords": [[0.074, 0.922, 0.750], [0.986, 0.283, 0.750], [0.128, 0.481, 0.250], [0.788, 0.824, 0.750], [0.424, 0.111, 0.250], [0.248, 0.351, 0.750], [0.076, 0.611, 0.750], [0.420, 0.611, 0.250], [0.872, 0.519, 0.750], [0.288, 0.676, 0.750], [0.920, 0.889, 0.250], [0.748, 0.149, 0.750], [0.926, 0.078, 0.250], [0.576, 0.889, 0.750], [0.212, 0.176, 0.250], [0.574, 0.578, 0.750], [0.580, 0.389, 0.750], [0.372, 0.981, 0.750], [0.514, 0.783, 0.250], [0.752, 0.649, 0.250], [0.252, 0.851, 0.250], [0.628, 0.019, 0.250], [0.080, 0.111, 0.750], [0.712, 0.324, 0.250], [0.924, 0.389, 0.250], [0.014, 0.717, 0.250], [0.426, 0.422, 0.250], [0.486, 0.217, 0.750]]}

***

{"formula": "Lu2Mo4Au3C3", "functional": "PBE-GGA", "state": "optimized geometry", "space_group": "C2/c", "final_energy_ev_per_atom": -7.83, "cell": [[-3.144, -2.243, 4.041], [5.231, 1.611, 1.133], [-6.901, 12.102, 1.217]], "species": ["Mo", "C", "Au", "Mo", "Mo", "Lu", "Lu", "Au", "Au", "Lu", "Au", "Mo", "Mo", "C", "Mo", "Au", "Mo", "C", "C", "Lu", "Mo", "C", "Au", "C"], "frac_coords": [[0.308, 0.274, 0.428], [0.500, 0.000, 0.000], [0.414, 0.606, 0.748], [0.692, 0.726, 0.572], [0.986, 0.632, 0.428], [0.617, 0.924, 0.384], [0.383, 0.076, 0.616], [0.586, 0.394, 0.252], [0.972, 0.722, 0.750], [0.541, 0.734, 0.116], [0.028, 0.278, 0.250], [0.014, 0.368, 0.572], [0.204, 0.058, 0.072], [0.000, 0.000, 0.500], [0.846, 0.381, 0.072], [0.858, 0.166, 0.752], [0.154, 0.619, 0.928], [0.333, 0.666, 0.500], [0.667, 0.334, 0.500], [0.459, 0.266, 0.884], [0.796, 0.942, 0.928], [0.166, 0.333, 0.000], [0.142, 0.834, 0.248], [0.834, 0.667, 0.000]]}

***

{"formula": "SrSi3Au", "functional": "PBE-GGA", "state": "optimized geometry", "space_group": "I4mm", "final_energy_ev_per_atom": -4.61, "cell": [[3.255, -4.717, 1.406], [-2.473, -3.763, 3.814], [-1.662, 2.650, -5.004]], "species": ["Au", "Sr", "Si", "Si", "Si"], "frac_coords": [[0.632, 0.632, 0.000], [0.000, 0.000, 0.000], [0.757, 0.257, 0.500], [0.378, 0.378, 0.000], [0.257, 0.757, 0.500]]}

***

{"formula": "LuTaNiPb", "functional": "PBE-GGA", "state": "optimized geometry", "space_group": "F-43m", "final_energy_ev_per_atom": -5.95, "polymorph_energy_ev_per_atom": 0.0000, "cell": [[1.105, -4.624, -0.940], [-3.072, -2.757, -2.539], [1.124, -1.353, -4.516]], "species": ["Ni", "Pb", "Lu", "Ta"], "frac_coords": [[0.750, 0.750, 0.750], [0.000, 0.000, 0.000], [0.500, 0.500, 0.500], [0.250, 0.250, 0.250]]}

***

{"formula": "CsZrInTe3", "functional": "PBE-GGA", "state": "optimized geometry", "space_group": "Cmcm", "final_energy_ev_per_atom": -4.29, "cell": [[2.096, -8.993, 0.000], [2.096, 8.993, 0.000], [0.000, 0.000, 12.618]], "species": ["Te", "In", "Cs", "Zr", "Te", "Te", "Zr", "In", "Te", "Cs", "Te", "Te"], "frac_coords": [[0.388, 0.612, 0.497], [0.391, 0.609, 0.250], [0.293, 0.707, 0.750], [0.000, 0.000, 0.500], [0.612, 0.388, 0.997], [0.388, 0.612, 0.003], [0.000, 0.000, 0.000], [0.609, 0.391, 0.750], [0.991, 0.009, 0.750], [0.707, 0.293, 0.250], [0.009, 0.991, 0.250], [0.612, 0.388, 0.503]]}

***

{"formula": "HfMgCuBi", "functional": "PBE-GGA", "state": "optimized geometry", "space_group": "F-43m", "final_energy_ev_per_atom": -4.46, "polymorph_energy_ev_per_atom": 0.0000, "cell": [[3.659, -2.636, -2.025], [2.838, -2.880, 2.843], [-0.376, -4.919, -0.310]], "species": ["Mg", "Hf", "Bi", "Cu"], "frac_coords": [[0.250, 0.250, 0.250], [0.500, 0.500, 0.500], [0.000, 0.000, 0.000], [0.750, 0.750, 0.750]]}

***

{"formula": "NaPt2", "functional": "PBE-GGA", "state": "optimized geometry", "space_group": "Fm-3m", "final_energy_ev_per_atom": -3.74, "polymorph_energy_ev_per_atom": 1.1100, "cell": [[0.000, 3.027, 3.027], [3.027, 0.000, 3.027], [3.027, 3.027, 0.000]], "species": ["Na", "Pt", "Pt"], "frac_coords": [[0.000, 0.000, 0.000], [0.250, 0.250, 0.250], [0.750, 0.750, 0.750]]}

***

{"formula": "RbMgNbTe3", "functional": "PBE-GGA", "state": "optimized geometry", "space_group": "Cmcm", "final_energy_ev_per_atom": -4.27, "polymorph_energy_ev_per_atom": 0.0813, "cell": [[-3.082, 7.813, -2.123], [1.151, -6.445, 5.673], [9.491, 4.659, 3.368]], "species": ["Te", "Rb", "Te", "Nb", "Te", "Nb", "Rb", "Mg", "Te", "Te", "Te", "Mg"], "frac_coords": [[0.118, 0.882, 0.538], [0.745, 0.255, 0.750], [0.118, 0.882, 0.962], [0.500, 0.500, 0.000], [0.571, 0.429, 0.250], [0.500, 0.500, 0.500], [0.255, 0.745, 0.250], [0.033, 0.967, 0.750], [0.882, 0.118, 0.038], [0.429, 0.571, 0.750], [0.882, 0.118, 0.462], [0.967, 0.033, 0.250]]}

***

{"formula": "CsLiHfTe3", "functional": "PBE-GGA", "state": "optimized geometry", "space_group": "Pnma", "final_energy_ev_per_atom": -4.68, "polymorph_energy_ev_per_atom": 0.0000, "cell": [[17.170, 0.000, 0.000], [0.000, 4.268, 0.000], [0.000, 0.000, 11.504]], "species": ["Te", "Te", "Hf", "Te", "Cs", "Cs", "Li", "Te", "Te", "Te", "Cs", "Te", "Te", "Te", "Te", "Li", "Hf", "Cs", "Li", "Hf", "Te", "Te", "Li", "Hf"], "frac_coords": [[0.879, 0.250, 0.769], [0.419, 0.250, 0.132], [0.012, 0.250, 0.168], [0.584, 0.250, 0.567], [0.232, 0.250, 0.463], [0.732, 0.250, 0.037], [0.986, 0.250, 0.592], [0.379, 0.250, 0.731], [0.919, 0.250, 0.368], [0.581, 0.750, 0.868], [0.268, 0.750, 0.963], [0.081, 0.750, 0.632], [0.621, 0.750, 0.269], [0.084, 0.250, 0.933], [0.416, 0.750, 0.433], [0.486, 0.250, 0.908], [0.488, 0.750, 0.668], [0.768, 0.750, 0.537], [0.014, 0.750, 0.408], [0.512, 0.250, 0.332], [0.916, 0.750, 0.067], [0.121, 0.750, 0.231], [0.514, 0.750, 0.092], [0.988, 0.750, 0.832]]}

***

{"formula": "Dy3ZrTe2C2", "functional": "PBE-GGA", "state": "optimized geometry", "space_group": "P3m1", "final_energy_ev_per_atom": -6.74, "cell": [[-1.694, 0.603, -3.279], [-0.205, -3.365, 1.620], [-11.585, 3.939, 6.711]], "species": ["Te", "Dy", "C", "C", "Te", "Dy", "Zr", "Dy"], "frac_coords": [[0.667, 0.333, 0.762], [0.667, 0.333, 0.407], [0.333, 0.667, 0.504], [0.333, 0.667, 0.988], [0.000, 0.000, 0.247], [0.667, 0.333, 0.089], [0.000, 0.000, 0.909], [0.000, 0.000, 0.596]]}

***

{"formula": "AsPOsO", "functional": "PBE-GGA", "state": "optimized geometry", "space_group": "P4/nmm", "final_energy_ev_per_atom": -6.25, "polymorph_energy_ev_per_atom": 0.4669, "cell": [[4.061, 0.000, 0.000], [0.000, 4.061, 0.000], [0.000, 0.000, 8.830]], "species": ["O", "P", "Os", "As", "Os", "As", "P", "O"], "frac_coords": [[0.250, 0.750, 0.000], [0.750, 0.750, 0.302], [0.750, 0.750, 0.064], [0.750, 0.250, 0.500], [0.250, 0.250, 0.936], [0.250, 0.750, 0.500], [0.250, 0.250, 0.698], [0.750, 0.250, 0.000]]}

***

{"formula": "PrMgAgTeS2", "functional": "PBE-GGA", "state": "optimized geometry", "space_group": "Cmcm", "final_energy_ev_per_atom": -4.46, "cell": [[-2.258, 5.476, 4.009], [-1.253, -4.435, -5.470], [-5.073, -7.241, 7.034]], "species": ["S", "Mg", "Te", "Mg", "S", "Pr", "Pr", "Ag", "S", "S", "Te", "Ag"], "frac_coords": [[0.634, 0.366, 0.088], [0.804, 0.196, 0.750], [0.865, 0.135, 0.250], [0.196, 0.804, 0.250], [0.366, 0.634, 0.588], [0.000, 0.000, 0.000], [0.000, 0.000, 0.500], [0.507, 0.493, 0.250], [0.634, 0.366, 0.412], [0.366, 0.634, 0.912], [0.135, 0.865, 0.750], [0.493, 0.507, 0.750]]}

***

{"formula": "Gd3Ga2Co4", "functional": "PBE-GGA", "state": "optimized geometry", "space_group": "C2/m", "final_energy_ev_per_atom": -5.74, "cell": [[-1.260, -2.677, 4.447], [-1.097, -5.095, 1.171], [8.084, -0.358, 0.666]], "species": ["Co", "Co", "Co", "Gd", "Ga", "Ga", "Co", "Gd", "Gd"], "frac_coords": [[0.260, 0.260, 0.420], [0.740, 0.740, 0.580], [0.078, 0.078, 0.125], [0.627, 0.627, 0.875], [0.677, 0.677, 0.275], [0.323, 0.323, 0.725], [0.922, 0.922, 0.875], [0.373, 0.373, 0.125], [0.000, 0.000, 0.500]]}

***

{"formula": "Nd2CuSi4Ni", "functional": "PBE-GGA", "state": "optimized geometry", "space_group": "Amm2", "final_energy_ev_per_atom": -5.78, "cell": [[-2.181, 1.742, 2.948], [7.267, 2.696, 3.784], [6.267, 5.801, 1.209]], "species": ["Nd", "Nd", "Ni", "Si", "Si", "Si", "Cu", "Si"], "frac_coords": [[0.000, 0.898, 0.898], [0.500, 0.107, 0.107], [0.500, 0.319, 0.319], [0.500, 0.754, 0.754], [0.000, 0.536, 0.536], [0.000, 0.253, 0.253], [0.000, 0.676, 0.676], [0.500, 0.458, 0.458]]}

***

{"formula": "Tl2AgAuCl6", "functional": "PBE-GGA", "state": "optimized geometry", "space_group": "Fm-3m", "final_energy_ev_per_atom": -2.79, "cell": [[0.000, 5.094, 5.094], [5.094, 0.000, 5.094], [5.094, 5.094, 0.000]], "species": ["Cl", "Ag", "Cl", "Au", "Cl", "Cl", "Cl", "Tl", "Cl", "Tl"], "frac_coords": [[0.248, 0.752, 0.248], [0.500, 0.500, 0.500], [0.248, 0.752, 0.752], [0.000, 0.000, 0.000], [0.248, 0.248, 0.752], [0.752, 0.248, 0.248], [0.752, 0.248, 0.752], [0.250, 0.250, 0.250], [0.752, 0.752, 0.248], [0.750, 0.750, 0.750]]}

***

{"formula": "Sm2PbS3", "functional": "PBE-GGA", "state": "optimized geometry", "space_group": "P-3m1", "final_energy_ev_per_atom": -5.74, "cell": [[4.056, 0.000, 0.000], [-2.028, 3.513, 0.000], [0.000, 0.000, 10.217]], "species": ["S", "S", "Sm", "Pb", "S", "Sm"], "frac_coords": [[0.333, 0.667, 0.181], [0.667, 0.333, 0.819], [0.667, 0.333, 0.352], [0.000, 0.000, 0.000], [0.000, 0.000, 0.500], [0.333, 0.667, 0.648]]}

***

{"formula": "DyScOs", "functional": "PBE-GGA", "state": "optimized geometry", "space_group": "F-43m", "final_energy_ev_per_atom": -6.63, "polymorph_energy_ev_per_atom": 0.2511, "ef_ev_per_atom": 0.754, "cell": [[0.000, 3.251, 3.251], [3.251, 0.000, 3.251], [3.251, 3.251, 0.000]], "species": ["Sc", "Os", "Dy"], "frac_coords": [[0.750, 0.750, 0.750], [0.250, 0.250, 0.250], [0.000, 0.000, 0.000]]}

***

{"formula": "ZnNiPdPt", "functional": "PBE-GGA", "state": "optimized geometry", "space_group": "F-43m", "final_energy_ev_per_atom": -4.69, "polymorph_energy_ev_per_atom": 0.0000, "ef_ev_per_atom": -0.175, "cell": [[2.286, -1.376, 3.386], [-1.823, -0.180, 3.902], [-0.886, -3.820, 1.791]], "species": ["Ni", "Zn", "Pt", "Pd"], "frac_coords": [[0.750, 0.750, 0.750], [0.000, 0.000, 0.000], [0.500, 0.500, 0.500], [0.250, 0.250, 0.250]]}